1.
Tb7AgRu4 | PBE | optimized geometry

a b c (Å): 5.3659 8.3181 7.3807
angles (deg): 76.31 68.68 71.18
Positions (direct):
Tb 0.7868 0.8767 0.5497
Tb 0.2132 0.1233 0.4503
Tb 0.0749 0.6370 0.2131
Tb 0.9251 0.3630 0.7869
Tb 0.3216 0.6297 0.7271
Tb 0.5000 0.0000 0.0000
Tb 0.6784 0.3703 0.2729
Ag 0.0000 0.0000 0.0000
Ru 0.5659 0.2215 0.6468
Ru 0.4341 0.7785 0.3532
Ru 0.7017 0.6506 0.9460
Ru 0.2983 0.3494 0.0540

**Space group**: C2/m, No. 12
**M_tot**: 0.000 μB per cell
**Raw total energy**: -6.143 eV/atom
**Energy relative to the elements**: -0.112 eV per atom


2.
Tb6AgRu5 | PBE | optimized geometry

a b c (Å): 4.8856 8.4278 8.4278
angles (deg): 119.72 106.85 106.85
Positions (direct):
Ru 0.5000 0.1655 0.8345
Ru 0.0000 0.3346 0.6654
Ru 0.5000 0.5000 0.5000
Ru 0.0000 0.6654 0.3346
Ru 0.5000 0.8345 0.1655
Tb 0.2557 0.0849 0.4267
Tb 0.7443 0.5733 0.9151
Tb 0.7609 0.2610 0.2610
Tb 0.2391 0.7390 0.7390
Tb 0.2557 0.4267 0.0849
Tb 0.7443 0.9151 0.5733
Ag 0.0000 0.0000 0.0000

**Space group**: Immm, No. 71
**M_tot**: 0.000 μB per cell
**Raw total energy**: -6.743 eV/atom
**Energy relative to the elements**: -0.325 eV per atom


3.
Tb8AgRu2 | PBE | optimized geometry

a b c (Å): 5.6436 7.7349 7.7349
angles (deg): 112.00 98.27 98.27
Positions (direct):
Tb 0.9112 0.9308 0.6693
Tb 0.9112 0.6693 0.9308
Tb 0.3015 0.6195 0.6195
Tb 0.5000 0.7593 0.2407
Tb 0.5000 0.2407 0.7593
Tb 0.6985 0.3805 0.3805
Tb 0.0888 0.3307 0.0692
Tb 0.0888 0.0692 0.3307
Ag 0.5000 0.0000 0.0000
Ru 0.0000 0.3088 0.6912
Ru 0.0000 0.6912 0.3088

**Space group**: C2/m, No. 12
**M_tot**: 0.000 μB per cell
**Raw total energy**: -5.482 eV/atom
**Energy relative to the elements**: -0.169 eV per atom


4.
Tb12AgRu6 | PBE | optimized geometry

a b c (Å): 8.2171 8.2171 8.2171
angles (deg): 101.28 101.28 101.28
Positions (direct):
Tb 0.8230 0.5846 0.4435
Tb 0.4435 0.8230 0.5846
Tb 0.5846 0.4435 0.8230
Tb 0.1770 0.4154 0.5565
Tb 0.5565 0.1770 0.4154
Tb 0.4154 0.5565 0.1770
Tb 0.0797 0.9280 0.3352
Tb 0.0720 0.6648 0.9203
Tb 0.6648 0.9203 0.0720
Tb 0.9203 0.0720 0.6648
Tb 0.9280 0.3352 0.0797
Tb 0.3352 0.0797 0.9280
Ag 0.0000 0.0000 0.0000
Ru 0.6961 0.8596 0.3876
Ru 0.6124 0.3039 0.1404
Ru 0.1404 0.6124 0.3039
Ru 0.3039 0.1404 0.6124
Ru 0.3876 0.6961 0.8596
Ru 0.8596 0.3876 0.6961

**Space group**: R-3, No. 148
**M_tot**: 0.000 μB per cell
**Raw total energy**: -6.149 eV/atom
**Energy relative to the elements**: -0.146 eV per atom
**Polymorph energy (0 for the lowest one)**: 2.10 eV per formula unit